# 1
Computed, not measured: a relaxed LiRh2 crystal at the PBE level of DFT.

a = 7.032 Å, b = 7.032 Å, c = 4.268 Å
α = 90.00°, β = 90.00°, γ = 157.43°
Sites, in units of the cell vectors:
Li 0.108 0.892 0.750
Li 0.892 0.108 0.250
Rh 0.219 0.781 0.250
Rh 0.443 0.557 0.750
Rh 0.557 0.443 0.250
Rh 0.781 0.219 0.750

DFT formation energy   -0.0352 eV/atom

# 2
Computed, not measured: a relaxed LuCo3H crystal at the PBE level of DFT.

a = 3.825 Å, b = 3.825 Å, c = 3.825 Å
α = 90.00°, β = 90.00°, γ = 90.00°
Sites, in units of the cell vectors:
Lu 0.000 0.000 0.000
Co 0.000 0.500 0.500
Co 0.500 0.000 0.500
Co 0.500 0.500 0.000
H 0.500 0.500 0.500

# 3
Computed, not measured: a relaxed TaCr2Au crystal at the PBE level of DFT.

a = 4.456 Å, b = 4.456 Å, c = 4.456 Å
α = 60.00°, β = 60.00°, γ = 60.00°
Sites, in units of the cell vectors:
Ta 0.000 0.000 0.000
Cr 0.250 0.250 0.250
Cr 0.500 0.500 0.500
Au 0.750 0.750 0.750

DFT formation energy   0.3133 eV/atom

# 4
Computed, not measured: a relaxed MoP2NCl crystal at the PBE level of DFT.

a = 4.502 Å, b = 4.502 Å, c = 3.436 Å
α = 90.00°, β = 90.00°, γ = 90.00°
Sites, in units of the cell vectors:
Mo 0.000 0.000 0.000
P 0.000 0.500 0.500
P 0.500 0.000 0.500
N 0.500 0.500 0.000
Cl 0.500 0.500 0.500

Energy relative to the elements, uncorrected   1.809 eV per atom

# 5
Computed, not measured: a relaxed Tb6Dy3Er2Mg crystal at the PBE level of DFT.

a = 6.118 Å, b = 6.118 Å, c = 11.627 Å
α = 95.07°, β = 95.07°, γ = 120.04°
Sites, in units of the cell vectors:
Tb 0.085 0.418 0.753
Tb 0.248 0.248 0.249
Tb 0.418 0.085 0.753
Tb 0.582 0.915 0.247
Tb 0.752 0.752 0.751
Tb 0.915 0.582 0.247
Dy 0.000 0.000 0.500
Dy 0.334 0.666 0.500
Dy 0.666 0.334 0.500
Er 0.166 0.834 0.000
Er 0.834 0.166 0.000
Mg 0.500 0.500 0.000

DFT formation energy   0.0275 eV/atom

# 6
Computed, not measured: a relaxed CuAs2PSe crystal at the PBE level of DFT.

a = 4.646 Å, b = 4.646 Å, c = 4.787 Å
α = 90.00°, β = 90.00°, γ = 90.00°
Sites, in units of the cell vectors:
Cu 0.000 0.000 0.000
As 0.000 0.500 0.000
As 0.500 0.000 0.000
P 0.500 0.500 0.500
Se 0.000 0.000 0.500

Energy relative to the elements, uncorrected   0.864 eV per atom

# 7
Computed, not measured: a relaxed KBOs3 crystal at the PBE level of DFT.

a = 4.268 Å, b = 4.268 Å, c = 4.268 Å
α = 90.00°, β = 90.00°, γ = 90.00°
Sites, in units of the cell vectors:
K 0.000 0.000 0.000
B 0.500 0.500 0.500
Os 0.000 0.500 0.500
Os 0.500 0.000 0.500
Os 0.500 0.500 0.000

DFT formation energy   1.2117 eV/atom

# 8
Computed, not measured: a relaxed KSrCaSe2 crystal at the PBE level of DFT.

a = 5.816 Å, b = 5.816 Å, c = 5.182 Å
α = 90.00°, β = 90.00°, γ = 90.00°
Sites, in units of the cell vectors:
K 0.000 0.000 0.000
Sr 0.500 0.500 0.500
Ca 0.000 0.000 0.500
Se 0.000 0.500 0.000
Se 0.500 0.000 0.000

Energy relative to the elements, uncorrected   -0.268 eV per atom

no.,VASP energy (eV/cell),total magnetic moment (μB/f.u.)
1,-33.44,0.00
2,-29.48,2.70
3,-33.12,1.45
4,-22.78,1.44
5,-51.98,0.00
6,-17.97,0.00
7,-35.41,1.84
8,-13.09,0.00